KTe2 | GGA-PBE | optimized geometry

Summary:
- crystal system = monoclinic
- calculated density (g cm⁻³) = 3.73
- uncorrected formation energy (eV per atom) = -0.54
- DFT total energy (eV/atom) = -3.002
- V (A^3/atom) = 43.62
- distance to the lowest polymorph of the same formula (eV/f.u.) = 0.057

Lattice parameters (Å, degrees): 11.184 5.791 8.323 90.00 103.82 90.00
Space group C2/m (No. 12)
One atom of each set of equivalent atoms:
K  0.067  0.000  0.287 [4 per cell]
Te  0.113  0.500  0.648 [4 per cell]
Te  0.211  0.500  0.999 [4 per cell]